Record 1
{
  "formula": "PmAgPH",
  "functional": "PBE-GGA",
  "state": "optimized geometry",
  "dos_at_fermi_per_ev_atom": 0.058,
  "e_tot_ev_per_atom": -4.792,
  "polymorph_energy_mev_per_atom": 0,
  "volume_a3_per_cell": 131.40,
  "magnetic_moment_mub_per_atom": 0.0000,
  "space_group": "P4/nmm",
  "density_g_cm3": 7.20,
  "lattice_angstrom": [[3.997, 0.000, 0.000], [0.000, 3.997, 0.000], [0.000, 0.000, 8.225]],
  "species": ["Pm", "Pm", "Ag", "Ag", "P", "P", "H", "H"],
  "frac_coords": [[0.250, 0.250, 0.163], [0.750, 0.750, 0.837], [0.250, 0.750, 0.500], [0.750, 0.250, 0.500], [0.250, 0.250, 0.720], [0.750, 0.750, 0.280], [0.250, 0.750, 0.000], [0.750, 0.250, 0.000]]
}

=====

Record 2
{
  "formula": "LiPd2Pb3",
  "functional": "PBE-GGA",
  "state": "optimized geometry",
  "dos_at_fermi_per_ev_atom": 0.535,
  "e_tot_ev_per_atom": -4.017,
  "polymorph_energy_mev_per_atom": 105,
  "volume_a3_per_cell": 284.17,
  "formation_energy_ev_per_atom": -0.11,
  "magnetic_moment_mub_per_atom": 0.0000,
  "space_group": "C2/m",
  "density_g_cm3": 9.83,
  "lattice_angstrom": [[11.130, -1.647, 0.000], [11.130, 1.647, 0.000], [-0.904, 0.000, 7.749]],
  "species": ["Li", "Li", "Pd", "Pd", "Pd", "Pd", "Pb", "Pb", "Pb", "Pb", "Pb", "Pb"],
  "frac_coords": [[0.148, 0.148, 0.090], [0.852, 0.852, 0.910], [0.207, 0.207, 0.407], [0.451, 0.451, 0.866], [0.549, 0.549, 0.134], [0.793, 0.793, 0.593], [0.084, 0.084, 0.417], [0.222, 0.222, 0.791], [0.428, 0.428, 0.210], [0.572, 0.572, 0.790], [0.778, 0.778, 0.209], [0.916, 0.916, 0.583]]
}

=====

Record 3
{
  "formula": "La3Zn2Cd2",
  "functional": "PBE-GGA",
  "state": "optimized geometry",
  "dos_at_fermi_per_ev_atom": 1.023,
  "e_tot_ev_per_atom": -2.996,
  "volume_a3_per_cell": 189.17,
  "formation_energy_ev_per_atom": -0.26,
  "magnetic_moment_mub_per_atom": 0.0000,
  "space_group": "P-1",
  "density_g_cm3": 6.78,
  "lattice_angstrom": [[4.714, 0.000, 0.000], [2.331, 5.641, 0.000], [0.026, 1.167, 7.114]],
  "species": ["La", "La", "La", "Zn", "Zn", "Cd", "Cd"],
  "frac_coords": [[0.000, 0.000, 0.000], [0.365, 0.271, 0.638], [0.635, 0.729, 0.362], [0.088, 0.820, 0.629], [0.912, 0.180, 0.371], [0.315, 0.375, 0.147], [0.685, 0.625, 0.853]]
}